Entry from the Alexandria database: Sm3Th2Sc3 after structural relaxation (PBE-GGA).

Calculated values
Raw total energy in eV for the cell shown: -47.56
Size of the total moment in Bohr magnetons per cell: 0.0
Calculated formation energy in eV/atom: 0.0544

abc: 10.506 10.506 10.506
angles: 153.21 152.74 38.60
Atoms (fractional coordinates):
Sm: 0.000 0.000 0.000
Sm: 0.376 0.876 0.500
Sm: 0.624 0.124 0.500
Th: 0.249 0.249 0.000
Th: 0.751 0.751 0.000
Sc: 0.126 0.626 0.500
Sc: 0.500 0.500 0.000
Sc: 0.874 0.374 0.500